Record 1
As2PtBrCl at its PBEsol-relaxed geometry. Source: Alexandria, functional SCAN.

Geometry as POSCAR:
```
As2PtBrCl
1.0
-1.007 -3.534 -3.132
-1.346 -2.830 3.626
-4.490 1.629 -0.395
As Br Cl Pt
2 1 1 1
Direct
0.000 0.000 0.500
0.000 0.500 0.000
0.500 0.000 0.000
0.000 0.000 0.000
0.500 0.500 0.500
```

Computed properties:
Crystal system: tetragonal
Raw formation energy, meV per atom: 1516

***

Record 2
FeAg2Os at its PBEsol-relaxed geometry. Source: Alexandria, functional SCAN.

Geometry as POSCAR:
```
FeAg2Os
1.0
2.601 0.000 0.000
0.000 4.268 0.000
0.000 0.000 5.291
Os Ag Fe
1 2 1
Direct
0.500 0.500 0.500
0.000 0.000 0.752
0.000 0.000 0.248
0.500 0.500 0.000
```

Computed properties:
Crystal system: orthorhombic
Formation enthalpy at 0 K, meV per atom: 610

***

Record 3
RhC2 at its PBEsol-relaxed geometry. Source: Alexandria, functional SCAN.

Geometry as POSCAR:
```
RhC2
1.0
2.957 0.000 0.000
0.000 2.957 0.000
0.000 0.000 3.884
C Rh
2 1
Direct
0.500 0.500 0.000
0.000 0.000 0.500
0.000 0.000 0.000
```

Computed properties:
Crystal system: tetragonal
Formation enthalpy at 0 K, meV per atom: 2154

***

Record 4
MoPt3 at its PBEsol-relaxed geometry. Source: Alexandria, functional SCAN.

Geometry as POSCAR:
```
MoPt3
1.0
-0.282 -2.616 -0.803
1.610 1.173 -4.388
3.661 -1.272 2.863
Pt Mo
3 1
Direct
0.000 0.500 0.500
0.500 0.000 0.500
0.500 0.500 0.000
0.000 0.000 0.000
```

Computed properties:
Crystal system: orthorhombic
Formation enthalpy at 0 K, meV per atom: -131